The following is a PBE calculation of InTcMo3 after structural relaxation, from Alexandria via LeMat-Bulk.

## Properties
As for the mass density: 7.9 g/cm3. Its formation energy is 1.40 eV/atom. The total energy is -0.5674 Ry/atom.

a = 4.720 Å, b = 4.720 Å, c = 4.720 Å
α = 90.00°, β = 90.00°, γ = 90.00°
Element x y z (fractional)
Mo: 0.000 0.500 0.000
Mo: 0.000 0.000 0.500
Mo: 0.500 0.000 0.000
Tc: 0.000 0.000 0.000
In: 0.500 0.500 0.500



The following is a PBE calculation of Cs2NdTe2S6 after structural relaxation, from Alexandria via LeMat-Bulk.

## Properties
As for the mass density: 3.7 g/cm3. The total energy is -0.3051 Ry/atom.

a = 7.636 Å, b = 7.070 Å, c = 9.254 Å
α = 108.63°, β = 90.00°, γ = 122.69°
Element x y z (fractional)
Cs: 0.698 0.395 0.137
Cs: 0.302 0.605 0.863
Nd: 0.500 0.000 0.500
Te: 0.923 0.846 0.762
Te: 0.077 0.154 0.238
S: 0.748 0.497 0.531
S: 0.237 0.928 0.240
S: 0.309 0.072 0.760
S: 0.763 0.072 0.760
S: 0.691 0.928 0.240
S: 0.252 0.503 0.469



The following is a PBE calculation of TaAlNi5 after structural relaxation, from Alexandria via LeMat-Bulk.

## Properties
As for the mass density: 9.2 g/cm3. Its formation energy is -0.14 eV/atom. The total energy is -0.4774 Ry/atom.

a = 3.511 Å, b = 3.511 Å, c = 7.344 Å
α = 90.00°, β = 90.00°, γ = 90.00°
Element x y z (fractional)
Ta: 0.500 0.500 0.000
Al: 0.000 0.000 0.500
Ni: 0.000 0.500 0.752
Ni: 0.000 0.500 0.248
Ni: 0.500 0.000 0.752
Ni: 0.500 0.000 0.248
Ni: 0.500 0.500 0.500